Entry from Alexandria via LeMat-Bulk: crystalline Ho2B4O9 at its relaxed geometry (GGA-PBE).

Cell and atoms, written as POSCAR:
```
Ho2B4O9
1.0
6.1807 0.0000 0.0000
-1.3760 6.2941 0.0000
-0.9396 -1.8464 7.1972
Ho B O
4 8 18
Direct
0.0500 0.0897 0.2873 Ho
0.3856 0.6753 0.3583 Ho
0.6144 0.3247 0.6417 Ho
0.9500 0.9103 0.7127 Ho
0.1266 0.3567 0.6507 B
0.1612 0.6819 0.9258 B
0.2311 0.3336 0.9816 B
0.4947 0.1448 0.1905 B
0.5053 0.8552 0.8095 B
0.7689 0.6664 0.0184 B
0.8388 0.3181 0.0742 B
0.8734 0.6433 0.3493 B
0.0045 0.7906 0.0194 O
0.0390 0.5374 0.7471 O
0.0793 0.8171 0.4458 O
0.2636 0.2630 0.7892 O
0.2737 0.5715 0.0415 O
0.2816 0.4046 0.5223 O
0.3114 0.8680 0.8772 O
0.3611 0.2825 0.1442 O
0.4292 0.0415 0.3243 O
0.5708 0.9585 0.6757 O
0.6389 0.7175 0.8558 O
0.6886 0.1320 0.1228 O
0.7184 0.5954 0.4777 O
0.7263 0.4285 0.9585 O
0.7364 0.7370 0.2108 O
0.9207 0.1829 0.5542 O
0.9610 0.4626 0.2529 O
0.9955 0.2094 0.9806 O
```

Summary:
- total energy (Ry/atom) = -0.6053